Entry from the Alexandria database: a geometry-optimized Dy7Mg2Ag2 structure (PBE).

The formation energy comes out at 0.14 eV/atom. The value obtained for the size of the total moment is 0.0 μB per cell.

It has space group Cmmm (No. 65), with a = 7.9671 Å, b = 11.2241 Å, c = 7.4995 Å, α = 90.00°, β = 90.00° and γ = 90.00°. Symmetry generates all atoms from Dy at (0.0000, 0.0000, 0.0000), Dy at (0.0000, 0.5000, 0.2525), Dy at (0.2500, 0.2500, 0.2711), Mg at (0.1718, 0.0000, 0.5000) and Ag at (0.0000, 0.2944, 0.0000).